(1)
First-principles (PBE) data for a geometry-optimized NaCa2HoTe4 structure, as listed in Alexandria.

abc: 7.7019 4.4829 7.7846
angles: 90.00 108.66 90.00
Space group P2/m (No. 10)
One atom of each set of equivalent atoms:
Na (0.0000, 0.0000, 0.0000)
Ca (0.5000, 0.0000, 0.5000)
Ca (0.5000, 0.5000, 0.0000)
Ho (0.0000, 0.5000, 0.5000)
Te (0.2409, 0.0000, 0.7413)
Te (0.2482, 0.5000, 0.2590)

## Properties
Total energy in eV per atom: -4.2511
Crystal system: monoclinic

---

(2)
First-principles (PBE) data for a geometry-optimized NaCa4Ho3Te8 structure, as listed in Alexandria.

abc: 8.8708 8.8708 21.7938
angles: 90.00 90.00 120.00
Space group R-3m (No. 166, hexagonal axes)
One atom of each set of equivalent atoms:
Na (0.0000, 0.0000, 0.0000)
Ca (0.0000, 0.0000, 0.5000)
Ca (0.0000, 0.5000, 0.5000)
Ho (0.0000, 0.5000, 0.0000)
Te (0.0000, 0.0000, 0.2525)
Te (0.0047, 0.5023, 0.2522)

## Properties
Total energy in eV per atom: -4.4658
Crystal system: trigonal

---

(3)
First-principles (PBE) data for a geometry-optimized NaCaHo2Tl4 structure, as listed in Alexandria.

abc: 5.3658 5.3658 26.4683
angles: 90.00 90.00 120.00
Space group R-3m (No. 166, hexagonal axes)
One atom of each set of equivalent atoms:
Na (0.0000, 0.0000, 0.0000)
Ca (0.0000, 0.0000, 0.5000)
Ho (0.0000, 0.0000, 0.2520)
Tl (0.0000, 0.0000, 0.1231)
Tl (0.0000, 0.0000, 0.3738)

## Properties
Crystal system: trigonal
E_form in meV/atom: -290

---

(4)
First-principles (PBE) data for a geometry-optimized NaCaHoTl structure, as listed in Alexandria.

abc: 7.7395 7.7395 7.7395
angles: 90.00 90.00 90.00
Space group F-43m (No. 216)
One atom of each set of equivalent atoms:
Na (0.0000, 0.0000, 0.0000)
Ca (0.2500, 0.2500, 0.2500)
Ho (0.2500, 0.2500, 0.7500)
Tl (0.0000, 0.0000, 0.5000)

## Properties
Crystal system: cubic
E_form in meV/atom: -106